NaPdS2: optimized geometry, PBE.

Unit cell a=5.967 b=5.967 c=7.005 alpha=64.79 beta=64.79 gamma=90.00
Element x y z (fractional)
1 Na 0.500 0.500 0.000
2 Na 0.250 0.750 0.500
3 S 0.697 0.125 0.250
4 S 0.053 0.625 0.250
5 S 0.375 0.303 0.750
6 S 0.875 0.947 0.750
7 Pd 0.000 0.000 0.000
8 Pd 0.750 0.250 0.500

Computed properties:
Total magnetic moment = 0.000 μB/atom
D(E_F) = 4.02 states/eV/cell
Symmetry = I-42d, No. 122
Total energy = -4.04 eV per atom
ρ = 3.228 Mg/m³

=====

NaPdS2: optimized geometry, PBE.

Unit cell a=4.559 b=4.559 c=4.559 alpha=60.00 beta=60.00 gamma=60.00
Site moments in Bohr magnetons follow the coordinates.
Element x y z (fractional)
1 Na 0.000 0.000 0.000  0.00
2 S 0.250 0.250 0.250  0.30
3 S 0.750 0.750 0.750  0.30
4 Pd 0.500 0.500 0.500  0.53

Computed properties:
Total magnetic moment = 0.348 μB/atom
D(E_F) = 3.05 states/eV/cell
Symmetry = Fm-3m, No. 225
Total energy = -3.76 eV per atom
ρ = 4.796 Mg/m³

=====

NaPd2S2: optimized geometry, PBE.

Unit cell a=4.120 b=4.120 c=6.232 alpha=70.70 beta=70.70 gamma=90.00
Element x y z (fractional)
1 Na 0.000 0.000 0.000
2 S 0.374 0.374 0.252
3 S 0.626 0.626 0.748
4 Pd 0.750 0.250 0.500
5 Pd 0.250 0.750 0.500

Computed properties:
Total magnetic moment = 0.000 μB/atom
D(E_F) = 3.53 states/eV/cell
Symmetry = I4/mmm, No. 139
Total energy = -4.33 eV per atom
ρ = 5.327 Mg/m³